AgPt2W | PBE | optimized geometry

SG	No. 25
D(E_F)	3.9	states/eV per cell
calculated total energy	-6.89	eV per atom
E above lowest polymorph	288.4	meV per atom

a = 2.797 Å, b = 4.155 Å, c = 5.536 Å
α = 90.00°, β = 90.00°, γ = 90.00°
Fractional positions:
Ag (0.500, 0.500, 0.759)
W (0.000, 0.000, 0.477)
Pt (0.000, 0.000, 0.993)
Pt (0.500, 0.500, 0.271)


SiIr2N | PBE | optimized geometry

SG	No. 225
D(E_F)	4.1	states/eV per cell
E_form (uncorrected)	2.66	eV/f.u.
calculated total energy	-7.20	eV per atom
E above lowest polymorph	492.3	meV per atom

a = 4.091 Å, b = 4.091 Å, c = 4.091 Å
α = 60.00°, β = 60.00°, γ = 60.00°
Fractional positions:
Si (0.500, 0.500, 0.500)
Ir (0.250, 0.250, 0.250)
Ir (0.750, 0.750, 0.750)
N (0.000, 0.000, 0.000)


MgCo2Ir | PBE | optimized geometry

SG	No. 166
D(E_F)	5.8	states/eV per cell
calculated total energy	-5.98	eV per atom

a = 8.717 Å, b = 8.717 Å, c = 8.717 Å
α = 17.86°, β = 17.86°, γ = 17.86°
Site moments in Bohr magnetons follow the coordinates.
Fractional positions:
Co (0.997, 0.997, 0.997)  1.53
Co (0.503, 0.503, 0.503)  1.53
Ir (0.250, 0.250, 0.250)  0.23
Mg (0.750, 0.750, 0.750)  -0.02